## Pa4Si2Au (PBE-GGA)

Data for crystalline Pa4Si2Au at its relaxed geometry.

Results
- crystal system = trigonal
- SG = No. 166
- size of the total moment (μB per formula unit) = 0.00

Structure (CIF):
```
data_Pa4Si2Au
_chemical_formula_sum 'Pa4 Si2 Au1'
_symmetry_space_group_name_H-M 'P 1'
_symmetry_Int_Tables_number 1
_cell_length_a 12.2592
_cell_length_b 12.2592
_cell_length_c 12.2592
_cell_angle_alpha 18.89
_cell_angle_beta 18.89
_cell_angle_gamma 18.89
loop_
_symmetry_equiv_pos_as_xyz
'x,y,z'
loop_
_atom_site_label
_atom_site_fract_x
_atom_site_fract_y
_atom_site_fract_z
Pa1 0.1127 0.1127 0.1127
Pa2 0.3097 0.3097 0.3097
Pa3 0.6903 0.6903 0.6903
Pa4 0.8873 0.8873 0.8873
Si1 0.4010 0.4010 0.4010
Si2 0.5990 0.5990 0.5990
Au1 0.5000 0.5000 0.5000
```

---

## PaSi2Au3 (PBE-GGA)

Data for crystalline PaSi2Au3 at its relaxed geometry.

Results
- crystal system = monoclinic
- SG = No. 12
- size of the total moment (μB per formula unit) = 0.00

Structure (CIF):
```
data_PaSi2Au3
_chemical_formula_sum 'Pa2 Si4 Au6'
_symmetry_space_group_name_H-M 'P 1'
_symmetry_Int_Tables_number 1
_cell_length_a 8.1473
_cell_length_b 8.1473
_cell_length_c 7.5025
_cell_angle_alpha 115.60
_cell_angle_beta 115.60
_cell_angle_gamma 30.75
loop_
_symmetry_equiv_pos_as_xyz
'x,y,z'
loop_
_atom_site_label
_atom_site_fract_x
_atom_site_fract_y
_atom_site_fract_z
Pa1 0.1422 0.1422 0.0756
Pa2 0.8578 0.8578 0.9244
Si1 0.1986 0.1986 0.7134
Si2 0.4887 0.4887 0.8381
Si3 0.5113 0.5113 0.1619
Si4 0.8014 0.8014 0.2866
Au1 0.0445 0.0445 0.3710
Au2 0.3171 0.3171 0.5775
Au3 0.3664 0.3664 0.2278
Au4 0.6336 0.6336 0.7722
Au5 0.6829 0.6829 0.4225
Au6 0.9555 0.9555 0.6290
```

---

## PaSiAu3 (PBE-GGA)

Data for crystalline PaSiAu3 at its relaxed geometry.

Results
- crystal system = tetragonal
- SG = No. 107
- size of the total moment (μB per formula unit) = 0.00

Structure (CIF):
```
data_PaSiAu3
_chemical_formula_sum 'Pa1 Si1 Au3'
_symmetry_space_group_name_H-M 'P 1'
_symmetry_Int_Tables_number 1
_cell_length_a 6.2813
_cell_length_b 6.2813
_cell_length_c 6.2813
_cell_angle_alpha 140.48
_cell_angle_beta 140.48
_cell_angle_gamma 57.12
loop_
_symmetry_equiv_pos_as_xyz
'x,y,z'
loop_
_atom_site_label
_atom_site_fract_x
_atom_site_fract_y
_atom_site_fract_z
Pa1 0.0000 0.0000 0.0000
Si1 0.6128 0.6128 0.0000
Au1 0.2315 0.7315 0.5000
Au2 0.3999 0.3999 0.0000
Au3 0.7315 0.2315 0.5000
```

---

What are the uncorrected formation energy values for these records? In order: -0.063; -0.310; -0.285 eV/atom.